Record 1
Crystalline Ta2AgCl at its relaxed geometry. Source: Alexandria via LeMat-Bulk, functional PBE-GGA.

Cell and atoms, written as POSCAR:
```
Ta2AgCl
1.0
2.992 0.000 0.000
0.000 2.992 0.000
0.000 0.000 7.394
Ta Ag Cl
2 1 1
Direct
0.000 0.000 0.229
0.000 0.000 0.771
0.500 0.500 0.500
0.500 0.500 0.000
```

Crystal system: tetragonal
Space-group type: P4/mmm, No. 123
Distance to the lowest polymorph of the same formula (kJ per mole of atoms): 49.4

---

Record 2
Crystalline PmSi2TcRh at its relaxed geometry. Source: Alexandria via LeMat-Bulk, functional PBE-GGA.

Cell and atoms, written as POSCAR:
```
PmSi2TcRh
1.0
4.229 0.000 0.000
0.000 4.229 0.000
0.000 0.000 9.776
Pm Si Tc Rh
2 4 2 2
Direct
0.000 0.000 0.000
0.500 0.500 0.500
0.000 0.000 0.368
0.000 0.000 0.632
0.500 0.500 0.132
0.500 0.500 0.868
0.000 0.500 0.250
0.500 0.000 0.750
0.000 0.500 0.750
0.500 0.000 0.250
```

Crystal system: tetragonal
Space-group type: I-4m2, No. 119
DFT total energy (eV per atom): -7.556

---

Record 3
Crystalline LiHoH6Ir2 at its relaxed geometry. Source: Alexandria via LeMat-Bulk, functional PBE-GGA.

Cell and atoms, written as POSCAR:
```
LiHoH6Ir2
1.0
3.891 -4.487 0.000
3.891 4.487 0.000
-1.431 0.000 5.169
Li Ho H Ir
2 2 12 4
Direct
0.094 0.906 0.750
0.906 0.094 0.250
0.330 0.670 0.250
0.670 0.330 0.750
0.021 0.813 0.381
0.044 0.592 0.867
0.187 0.979 0.119
0.322 0.325 0.931
0.325 0.322 0.431
0.408 0.956 0.633
0.592 0.044 0.367
0.675 0.678 0.569
0.678 0.675 0.069
0.813 0.021 0.881
0.956 0.408 0.133
0.979 0.187 0.619
0.171 0.434 0.677
0.434 0.171 0.177
0.566 0.829 0.823
0.829 0.566 0.323
```

Crystal system: monoclinic
Space-group type: C2/c, No. 15
DFT total energy (eV per atom): -4.848

---

Record 4
Crystalline ScAlPb2 at its relaxed geometry. Source: Alexandria via LeMat-Bulk, functional PBE-GGA.

Cell and atoms, written as POSCAR:
```
ScAlPb2
1.0
3.278 0.000 0.000
0.000 5.166 0.000
-0.068 0.000 5.919
Sc Al Pb
1 1 2
Direct
0.000 0.000 0.000
0.500 0.000 0.500
0.339 0.500 0.753
0.661 0.500 0.247
```

Crystal system: monoclinic
Energy relative to the elements (eV/atom): 0.012
Space-group type: P2/m, No. 10

---

Record 5
Crystalline PuVReTc at its relaxed geometry. Source: Alexandria via LeMat-Bulk, functional PBE-GGA.

Cell and atoms, written as POSCAR:
```
PuVReTc
1.0
6.385 0.000 0.000
0.000 6.385 0.000
0.000 0.000 6.385
Pu V Re Tc
4 4 4 4
Direct
0.000 0.000 0.000
0.000 0.500 0.500
0.500 0.000 0.500
0.500 0.500 0.000
0.000 0.000 0.500
0.000 0.500 0.000
0.500 0.000 0.000
0.500 0.500 0.500
0.250 0.250 0.250
0.250 0.750 0.750
0.750 0.250 0.750
0.750 0.750 0.250
0.250 0.250 0.750
0.250 0.750 0.250
0.750 0.250 0.250
0.750 0.750 0.750
```

Crystal system: cubic
Energy relative to the elements (eV/atom): 0.069
Space-group type: F-43m, No. 216

---

Fermi-level density of states readings, ordered: 1.73; 5.24; 0.79; 2.39; 20.05 states/eV per cell